Ag12Se5O3 | GGA-PBE | relaxed

Lattice parameters (Å, degrees): 12.883 12.883 12.883 109.47 109.47 109.47
Positions (direct):
O 0.750 0.375 0.125
O 0.875 0.750 0.125
O 0.375 0.750 0.625
O 0.250 0.125 0.375
O 0.875 0.125 0.250
O 0.375 0.625 0.250
O 0.625 0.375 0.750
O 0.125 0.875 0.750
O 0.750 0.875 0.625
O 0.625 0.250 0.375
O 0.125 0.250 0.875
O 0.250 0.625 0.875
Se 0.125 0.375 0.250
Se 0.000 0.500 0.000
Se 0.000 0.000 0.000
Se 0.375 0.250 0.125
Se 0.500 0.000 0.500
Se 0.500 0.500 0.000
Se 0.125 0.750 0.375
Se 0.750 0.125 0.875
Se 0.750 0.625 0.375
Se 0.375 0.125 0.750
Se 0.625 0.875 0.250
Se 0.500 0.500 0.500
Se 0.500 0.000 0.000
Se 0.000 0.000 0.500
Se 0.250 0.375 0.625
Se 0.250 0.875 0.125
Se 0.000 0.500 0.500
Se 0.875 0.250 0.625
Se 0.625 0.750 0.875
Se 0.875 0.625 0.750
Ag 0.746 0.125 0.074
Ag 0.328 0.574 0.449
Ag 0.926 0.375 0.254
Ag 0.574 0.246 0.125
Ag 0.621 0.746 0.672
Ag 0.926 0.551 0.172
Ag 0.328 0.754 0.379
Ag 0.051 0.879 0.125
Ag 0.551 0.926 0.672
Ag 0.746 0.621 0.172
Ag 0.754 0.426 0.375
Ag 0.828 0.949 0.074
Ag 0.125 0.746 0.574
Ag 0.375 0.449 0.121
Ag 0.121 0.949 0.375
Ag 0.379 0.125 0.551
Ag 0.121 0.172 0.246
Ag 0.426 0.672 0.051
Ag 0.828 0.879 0.254
Ag 0.125 0.379 0.051
Ag 0.375 0.926 0.754
Ag 0.551 0.625 0.379
Ag 0.949 0.828 0.574
Ag 0.754 0.328 0.879
Ag 0.449 0.375 0.621
Ag 0.051 0.172 0.426
Ag 0.246 0.672 0.121
Ag 0.172 0.121 0.746
Ag 0.625 0.074 0.246
Ag 0.875 0.621 0.949
Ag 0.574 0.328 0.949
Ag 0.621 0.875 0.449
Ag 0.879 0.828 0.754
Ag 0.879 0.051 0.625
Ag 0.875 0.254 0.426
Ag 0.172 0.051 0.926
Ag 0.625 0.551 0.879
Ag 0.449 0.074 0.328
Ag 0.254 0.379 0.828
Ag 0.246 0.574 0.625
Ag 0.949 0.121 0.875
Ag 0.672 0.246 0.621
Ag 0.426 0.754 0.875
Ag 0.074 0.449 0.828
Ag 0.379 0.254 0.328
Ag 0.074 0.625 0.746
Ag 0.672 0.426 0.551
Ag 0.254 0.875 0.926

Calculated values
**Density of states at the Fermi level**: 0.683 states/eV per atom
**Total moment**: 0.000 μB/f.u.
**Formation energy (no corrections)**: 0.0893 eV/atom

LaPmTlRh | GGA-PBE | relaxed

Lattice parameters (Å, degrees): 5.309 5.309 5.309 60.00 60.00 60.00
Positions (direct):
Tl 0.750 0.750 0.750
La 0.500 0.500 0.500
Rh 0.250 0.250 0.250
Pm 0.000 0.000 0.000

Calculated values
**Density of states at the Fermi level**: 0.903 states/eV per atom
**Energy above the most stable polymorph in this dataset**: 12.8 kJ/mol of atoms
**Total moment**: 0.000 μB/f.u.
**Energy relative to the elements**: -0.40 eV per atom

Fe | GGA-PBE | relaxed

Lattice parameters (Å, degrees): 2.485 2.485 2.374 90.00 90.00 120.00
Positions (direct):
Fe 0.000 0.000 0.000

Calculated values
**Density of states at the Fermi level**: 0.890 states/eV per atom
**Energy above the most stable polymorph in this dataset**: 47.0 kJ/mol of atoms
**Total moment**: 2.497 μB/f.u.
**Energy relative to the elements**: 0.49 eV per atom

Among the records above, which one has the highest density of states at the Fermi level? LaPmTlRh